The following is a PBE-GGA calculation of an optimized crystal structure of LiSmO3, from OQMD via LeMat-Bulk.

Properties
As for the crystal system: trigonal. The space group is R-3c.

Cell lengths 5.044, 5.044, 5.044 Å; angles 67.13, 67.13, 67.13 degrees
Fractional positions:
1 Li 0.000 0.000 0.000
2 Li 0.500 0.500 0.500
3 Sm 0.250 0.250 0.250
4 Sm 0.750 0.750 0.750
5 O 0.170 0.750 0.330
6 O 0.250 0.670 0.830
7 O 0.330 0.170 0.750
8 O 0.670 0.830 0.250
9 O 0.750 0.330 0.170
10 O 0.830 0.250 0.670

=====

The following is a PBE-GGA calculation of an optimized crystal structure of Li4TaSnO6, from OQMD via LeMat-Bulk.

Properties
As for the crystal system: monoclinic. The space group is C2.

Cell lengths 5.394, 5.394, 5.189 Å; angles 100.20, 100.20, 119.78 degrees
Fractional positions:
1 Li 0.000 0.000 0.000
2 Li 0.158 0.842 0.500
3 Li 0.495 0.505 0.500
4 Li 0.845 0.155 0.500
5 Ta 0.333 0.667 0.000
6 Sn 0.667 0.333 0.000
7 O 0.104 0.434 0.231
8 O 0.257 0.279 0.758
9 O 0.415 0.054 0.239
10 O 0.566 0.896 0.769
11 O 0.721 0.743 0.242
12 O 0.946 0.585 0.761

=====

The following is a PBE-GGA calculation of an optimized crystal structure of Li4TbSnO6, from OQMD via LeMat-Bulk.

Properties
As for the crystal system: monoclinic. The space group is C2.

Cell lengths 5.469, 5.469, 5.181 Å; angles 99.60, 99.60, 120.54 degrees
Fractional positions:
1 Li 0.000 0.000 0.000
2 Li 0.371 0.629 0.000
3 Li 0.709 0.291 0.000
4 Li 0.855 0.145 0.500
5 Tb 0.188 0.812 0.500
6 Sn 0.521 0.479 0.500
7 O 0.122 0.392 0.253
8 O 0.278 0.246 0.743
9 O 0.451 0.092 0.251
10 O 0.608 0.878 0.747
11 O 0.754 0.722 0.257
12 O 0.908 0.549 0.749

=====

The following is a PBE-GGA calculation of an optimized crystal structure of SrLi2Ta2O7, from OQMD via LeMat-Bulk.

Properties
As for the crystal system: orthorhombic. The space group is Cmcm.

Cell lengths 9.394, 9.394, 5.591 Å; angles 90.00, 90.00, 34.69 degrees
Fractional positions:
1 Sr 0.245 0.755 0.750
2 Sr 0.755 0.245 0.250
3 Li 0.241 0.241 0.000
4 Li 0.241 0.241 0.500
5 Li 0.759 0.759 0.000
6 Li 0.759 0.759 0.500
7 Ta 0.137 0.630 0.250
8 Ta 0.370 0.863 0.250
9 Ta 0.630 0.137 0.750
10 Ta 0.863 0.370 0.750
11 O 0.054 0.504 0.250
12 O 0.116 0.116 0.000
13 O 0.116 0.116 0.500
14 O 0.210 0.790 0.250
15 O 0.403 0.403 0.000
16 O 0.403 0.403 0.500
17 O 0.496 0.946 0.250
18 O 0.504 0.054 0.750
19 O 0.597 0.597 0.000
20 O 0.597 0.597 0.500
21 O 0.790 0.210 0.750
22 O 0.884 0.884 0.000
23 O 0.884 0.884 0.500
24 O 0.946 0.496 0.750

=====

The following is a PBE-GGA calculation of an optimized crystal structure of Li5TaO4, from OQMD via LeMat-Bulk.

Properties
As for the crystal system: monoclinic. The space group is P2/m.

Cell lengths 5.282, 2.975, 5.474 Å; angles 90.00, 91.42, 90.00 degrees
Fractional positions:
1 Li 0.000 0.000 0.000
2 Li 0.349 0.500 0.141
3 Li 0.377 0.000 0.674
4 Li 0.623 0.000 0.326
5 Li 0.651 0.500 0.859
6 Ta 0.000 0.500 0.500
7 O 0.234 0.500 0.817
8 O 0.255 0.000 0.330
9 O 0.745 0.000 0.670
10 O 0.766 0.500 0.183

=====

The following is a PBE-GGA calculation of an optimized crystal structure of LiTaO4, from OQMD via LeMat-Bulk.

Properties
As for the crystal system: triclinic. The space group is P-1. The energy above the most stable polymorph in this dataset is 26.9 meV/atom.

Cell lengths 3.067, 9.348, 9.424 Å; angles 89.52, 88.28, 86.24 degrees
Fractional positions:
1 Li 0.000 0.001 0.249
2 Li 0.000 0.999 0.751
3 Li 0.011 0.499 0.748
4 Li 0.989 0.501 0.252
5 Ta 0.406 0.237 0.491
6 Ta 0.410 0.238 0.990
7 Ta 0.590 0.762 0.010
8 Ta 0.594 0.763 0.509
9 O 0.068 0.834 0.891
10 O 0.071 0.837 0.391
11 O 0.087 0.645 0.095
12 O 0.090 0.646 0.593
13 O 0.383 0.610 0.364
14 O 0.394 0.609 0.862
15 O 0.491 0.096 0.363
16 O 0.492 0.095 0.864
17 O 0.508 0.905 0.136
18 O 0.509 0.904 0.637
19 O 0.606 0.391 0.138
20 O 0.617 0.390 0.636
21 O 0.910 0.354 0.407
22 O 0.913 0.355 0.905
23 O 0.929 0.163 0.609
24 O 0.932 0.166 0.109

=====

no.,E (eV per atom)
1,-6.224
2,-6.521
3,-5.856
4,-8.125
5,-5.972
6,-7.355